Compound: CdAg7Pd4
Source: the Alexandria database
Functional: PBE
Structure: relaxed

Summary:
The density of states at the Fermi level comes out at 3.9 states/eV/f.u. The calculation puts the total magnetization at 0.00 μB per formula unit. Its total DFT energy (no corrections) is -3.300 eV per atom. The calculation puts the calculated formation energy at 170.0 meV/atom.

a b c (Å): 10.3734 5.0463 10.0577
angles (deg): 90.00 120.85 90.00
Closest atoms and distances in Å follow each position.
Space group C2/m (No. 12)
Inequivalent atoms, fractional coordinates:
Cd (0.0000, 0.0000, 0.0000) [2 per cell]  4 Ag 2.52-2.69
Ag (0.0000, 0.5000, 0.0000) [2 per cell]  2 Cd 2.52, 2 Ag 2.71, 4 Pd 2.77-2.82
Ag (0.1084, 0.0000, 0.4505) [4 per cell]  5 Pd 2.75-2.89, 4 Ag 2.84-2.93
Ag (0.1582, 0.5000, 0.6190) [4 per cell]  5 Ag 2.74-2.93, 4 Pd 2.80-3.01
Ag (0.2085, 0.5000, 0.9144) [4 per cell]  1 Cd 2.69, 4 Ag 2.71-2.92, 4 Pd 2.76-2.86
Pd (0.0914, 0.5000, 0.3115) [4 per cell]  7 Ag 2.76-3.01, 1 Pd 2.78
Pd (0.1918, 0.0000, 0.7723) [4 per cell]  8 Ag 2.75-2.89, 1 Pd 2.78